Computed, not measured: a relaxed structure of CuRhSe2 at the PBE level of DFT.

Results
V	65	Å³ per cell
E_tot	-4.363	eV per atom

CIF file:
```
data_CuRhSe2
_cell_length_a 5.277
_cell_length_b 5.277
_cell_length_c 5.277
_cell_angle_alpha 137.98
_cell_angle_beta 137.98
_cell_angle_gamma 60.93
_space_group_name_H-M_alt 'P 1'
_space_group_IT_number 1
_space_group_name_Hall 'P 1'
loop_
_atom_site_label
_atom_site_fract_x
_atom_site_fract_y
_atom_site_fract_z
_atom_site_occupancy
Rh1 0.750 0.250 0.500 1
Se1 0.250 0.750 0.500 1
Se2 0.000 0.000 0.000 1
Cu1 0.500 0.500 0.000 1
```

Computed, not measured: a relaxed structure of MgMn3Cl9 at the PBE level of DFT.

Results
V	796	Å³ per cell
E_tot	-4.658	eV per atom

CIF file:
```
data_MgMn3Cl9
_cell_length_a 8.198
_cell_length_b 10.211
_cell_length_c 11.320
_cell_angle_alpha 72.78
_cell_angle_beta 68.77
_cell_angle_gamma 66.33
_space_group_name_H-M_alt 'P 1'
_space_group_IT_number 1
_space_group_name_Hall 'P 1'
loop_
_atom_site_label
_atom_site_fract_x
_atom_site_fract_y
_atom_site_fract_z
_atom_site_occupancy
Cl1 0.818 0.934 0.359 1
Cl2 0.346 0.305 0.931 1
Cl3 0.116 0.689 0.814 1
Cl4 0.418 0.805 0.431 1
Cl5 0.158 0.071 0.639 1
Cl6 0.693 0.014 0.817 1
Cl7 0.932 0.304 0.181 1
Cl8 0.133 0.571 0.139 1
Cl9 0.592 0.460 0.643 1
Cl10 0.582 0.804 0.681 1
Cl11 0.534 0.202 0.558 1
Cl12 0.027 0.537 0.498 1
Cl13 0.382 0.189 0.314 1
Cl14 0.889 0.434 0.859 1
Cl15 0.938 0.037 0.998 1
Cl16 0.706 0.702 0.058 1
Cl17 0.475 0.514 0.317 1
Cl18 0.305 0.960 0.143 1
Mg1 0.021 0.496 0.996 1
Mg2 0.486 0.996 0.496 1
Mn1 0.012 0.934 0.816 1
Mn2 0.479 0.746 0.239 1
Mn3 0.535 0.246 0.739 1
Mn4 0.975 0.065 0.185 1
Mn5 0.238 0.434 0.316 1
Mn6 0.775 0.565 0.685 1
```

Computed, not measured: a relaxed structure of Tb5Pd2Au2 at the PBE level of DFT.

Results
V	447	Å³ per cell
calculated formation energy	-0.7686	eV/atom
E_tot	-5.223	eV per atom

CIF file:
```
data_Tb5Pd2Au2
_cell_length_a 7.749
_cell_length_b 7.463
_cell_length_c 8.582
_cell_angle_alpha 115.77
_cell_angle_beta 90.00
_cell_angle_gamma 90.00
_space_group_name_H-M_alt 'P 1'
_space_group_IT_number 1
_space_group_name_Hall 'P 1'
loop_
_atom_site_label
_atom_site_fract_x
_atom_site_fract_y
_atom_site_fract_z
_atom_site_occupancy
Pd1 0.130 0.628 0.000 1
Pd2 0.370 0.128 0.000 1
Pd3 0.630 0.872 0.000 1
Pd4 0.870 0.372 0.000 1
Tb1 0.672 0.036 0.729 1
Tb2 0.500 0.500 0.000 1
Tb3 0.828 0.536 0.729 1
Tb4 0.672 0.307 0.271 1
Tb5 0.328 0.964 0.271 1
Tb6 0.328 0.693 0.729 1
Tb7 0.828 0.807 0.271 1
Tb8 0.000 0.000 0.000 1
Tb9 0.172 0.464 0.271 1
Tb10 0.172 0.193 0.729 1
Au1 0.000 0.206 0.412 1
Au2 0.000 0.794 0.588 1
Au3 0.500 0.294 0.588 1
Au4 0.500 0.706 0.412 1
```